<one>
! TlInCl2 (PBE, optimized geometry); values from VASP
&SYSTEM
  ibrav = 0, nat = 4, ntyp = 3
/
ATOMIC_SPECIES
Tl 204.38 Tl.upf
In 114.82 In.upf
Cl 35.45 Cl.upf
CELL_PARAMETERS angstrom
2.230 1.288 8.445
-2.230 1.288 8.445
0.000 -2.575 8.445
ATOMIC_POSITIONS crystal
Tl 0.000 0.000 0.000
In 0.233 0.233 0.233
Cl 0.516 0.516 0.516
Cl 0.721 0.721 0.721
! - Density of states at the Fermi level: 0.00 states/eV/f.u.
! - Density: 4.5 g cm⁻³
! - Symmetry: R3m, No. 160


<two>
! TlInCl2 (PBE, optimized geometry); values from VASP
&SYSTEM
  ibrav = 0, nat = 8, ntyp = 3
/
ATOMIC_SPECIES
Tl 204.38 Tl.upf
In 114.82 In.upf
Cl 35.45 Cl.upf
CELL_PARAMETERS angstrom
-3.636 3.636 6.890
3.636 -3.636 6.890
3.636 3.636 -6.890
ATOMIC_POSITIONS crystal
Tl 0.000 0.000 0.000
Tl 0.750 0.250 0.500
In 0.250 0.750 0.500
In 0.500 0.500 0.000
Cl 0.130 0.625 0.005
Cl 0.375 0.380 0.505
Cl 0.620 0.125 0.995
Cl 0.875 0.870 0.495
! - Density of states at the Fermi level: 0.00 states/eV/f.u.
! - Density: 3.6 g cm⁻³
! - Symmetry: I-42d, No. 122


Relative energies in eV/atom: <one> 0.047; <two> 0.000